Entry 1:
VASP calculation (PBE-GGA) on a relaxed Ca3Tl4 crystal.

Cell and atoms, written as extended XYZ:
```
7
Lattice="6.957 0.000 0.000 -3.479 6.025 0.000 0.000 0.000 5.591" Properties=species:S:1:pos:R:3 pbc="T T T"
Ca -1.739 3.013 0.000
Ca 3.479 0.000 0.000
Ca 1.739 3.013 0.000
Tl 0.000 0.000 1.400
Tl 0.000 0.000 4.191
Tl 0.000 4.017 2.796
Tl 3.479 2.008 2.796
```

Values from the calculation:
SG   P6/mmm, No. 191
Crystal system   hexagonal
Spin magnetization   0.000 μB per formula unit
ΔE_f   -0.067 eV per atom

Entry 2:
VASP calculation (PBE-GGA) on a relaxed CdB2OsAu crystal.

Cell and atoms, written as extended XYZ:
```
5
Lattice="4.127 0.000 0.000 0.000 4.127 0.000 0.000 0.000 5.419" Properties=species:S:1:pos:R:3 pbc="T T T"
Cd 0.000 0.000 0.000
B 0.000 2.064 0.000
B 2.064 0.000 0.000
Os 2.064 2.064 2.709
Au 0.000 0.000 2.709
```

Values from the calculation:
SG   P4/mmm, No. 123
Crystal system   tetragonal
Spin magnetization   2.327 μB per formula unit
ΔE_f   2.477 eV per atom

Entry 3:
VASP calculation (PBE-GGA) on a relaxed BeFeRu2 crystal.

Cell and atoms, written as extended XYZ:
```
4
Lattice="1.394 -2.187 0.000 1.394 2.187 0.000 0.000 0.000 8.163" Properties=species:S:1:pos:R:3 pbc="T T T"
Be 0.000 0.000 0.000
Fe 1.394 0.000 6.339
Ru 0.000 0.000 4.198
Ru 1.394 0.000 1.865
```

Values from the calculation:
SG   Cmm2, No. 35
Crystal system   orthorhombic
Spin magnetization   2.730 μB per formula unit
ΔE_f   0.255 eV per atom

Entry 4:
VASP calculation (PBE-GGA) on a relaxed OsSeI2O crystal.

Cell and atoms, written as extended XYZ:
```
5
Lattice="5.555 0.000 0.000 0.000 5.555 0.000 0.000 0.000 3.750" Properties=species:S:1:pos:R:3 pbc="T T T"
Os 0.000 0.000 0.000
Se 2.777 2.777 1.875
I 0.000 2.777 0.000
I 2.777 0.000 0.000
O 0.000 0.000 1.875
```

Values from the calculation:
SG   P4/mmm, No. 123
Crystal system   tetragonal
Spin magnetization   0.227 μB per formula unit
E_tot   -21.55 eV per formula unit

Entry 5:
VASP calculation (PBE-GGA) on a relaxed MnTlI2Cl crystal.

Cell and atoms, written as extended XYZ:
```
10
Lattice="-3.878 3.878 5.833 3.878 -3.878 5.833 3.878 3.878 -5.833" Properties=species:S:1:pos:R:3 pbc="T T T"
Mn 0.000 0.000 0.000
Mn 0.000 0.000 5.833
Tl 3.878 0.000 2.367
Tl 0.000 3.878 2.367
I 2.381 1.497 -0.622
I 2.381 -1.497 5.211
I 1.497 5.375 -0.622
I 1.497 2.381 5.211
Cl 0.000 0.000 2.307
Cl 0.000 0.000 8.140
```

Values from the calculation:
SG   I4cm, No. 108
Crystal system   tetragonal
Spin magnetization   5.000 μB per formula unit
E_tot   -19.63 eV per formula unit

Entry 6:
VASP calculation (PBE-GGA) on a relaxed Sm3HfGe6 crystal.

Cell and atoms, written as extended XYZ:
```
20
Lattice="5.752 3.321 3.827 -5.752 3.321 3.827 0.000 -6.642 3.827" Properties=species:S:1:pos:R:3 pbc="T T T"
Sm -3.275 0.970 4.784
Sm -2.477 -2.351 6.698
Sm 0.797 -3.321 4.784
Sm -0.797 3.321 6.698
Sm 2.477 2.351 4.784
Sm 3.275 -0.970 6.698
Hf 0.000 0.000 0.000
Hf 0.000 0.000 5.741
Ge -0.444 -2.092 1.791
Ge -1.590 1.431 1.791
Ge -1.590 -1.431 3.950
Ge 2.034 0.661 1.791
Ge -0.444 2.092 3.950
Ge 2.034 -0.661 3.950
Ge -2.034 0.661 7.532
Ge 0.444 -2.092 7.532
Ge -2.034 -0.661 9.691
Ge 1.590 1.431 7.532
Ge 1.590 -1.431 9.691
Ge 0.444 2.092 9.691
```

Values from the calculation:
SG   R-3c, No. 167
Crystal system   trigonal
Spin magnetization   0.000 μB per formula unit
ΔE_f   -0.647 eV per atom

Entry 7:
VASP calculation (PBE-GGA) on a relaxed NbGaOsRu crystal.

Cell and atoms, written as extended XYZ:
```
4
Lattice="0.000 3.117 3.117 3.117 0.000 3.117 3.117 3.117 0.000" Properties=species:S:1:pos:R:3 pbc="T T T"
Nb 0.000 0.000 0.000
Ga 3.117 3.117 3.117
Os 1.559 1.559 1.559
Ru 4.676 4.676 4.676
```

Values from the calculation:
SG   F-43m, No. 216
Crystal system   cubic
Spin magnetization   0.000 μB per formula unit
ΔE_f   -0.359 eV per atom

Entry 8:
VASP calculation (PBE-GGA) on a relaxed Na3InP crystal.

Cell and atoms, written as extended XYZ:
```
5
Lattice="5.615 0.000 0.000 0.000 5.615 0.000 0.000 0.000 5.615" Properties=species:S:1:pos:R:3 pbc="T T T"
Na 0.000 0.000 2.807
Na 0.000 2.807 0.000
Na 2.807 0.000 0.000
In 0.000 0.000 0.000
P 2.807 2.807 2.807
```

Values from the calculation:
SG   Pm-3m, No. 221
Crystal system   cubic
Spin magnetization   0.000 μB per formula unit
ΔE_f   0.640 eV per atom

Entry 9:
VASP calculation (PBE-GGA) on a relaxed SnSbPCl2 crystal.

Cell and atoms, written as extended XYZ:
```
5
Lattice="5.199 0.000 0.000 0.000 5.199 0.000 0.000 0.000 5.331" Properties=species:S:1:pos:R:3 pbc="T T T"
Sn 0.000 0.000 0.000
Sb 2.599 2.599 2.666
P 2.599 2.599 0.000
Cl 0.000 2.599 2.666
Cl 2.599 0.000 2.666
```

Values from the calculation:
SG   P4/mmm, No. 123
Crystal system   tetragonal
Spin magnetization   0.000 μB per formula unit
E_tot   -16.74 eV per formula unit